[1]
# LaPmH8Pt2 | Alexandria via LeMat-Bulk | PBE | optimized geometry
data_LaPmH8Pt2
_chemical_formula_sum 'La3 Pm3 H24 Pt6'
_space_group_name_H-M_alt 'R -3 m'
_space_group_IT_number 166
_space_group_name_Hall '-R 3 2"'
_cell_length_a 4.6840
_cell_length_b 4.6840
_cell_length_c 20.7680
_cell_angle_alpha 90.00
_cell_angle_beta 90.00
_cell_angle_gamma 120.00
loop_
_atom_site_label
_atom_site_type_symbol
_atom_site_fract_x
_atom_site_fract_y
_atom_site_fract_z
_atom_site_occupancy
La1 La 0.0000 0.0000 0.0000 1
Pm1 Pm 0.0000 0.0000 0.5000 1
H1 H 0.0000 0.0000 0.3325 1
H2 H 0.0588 0.5294 0.5564 1
Pt1 Pt 0.0000 0.0000 0.2506 1
# Total magnetic moment = 0.0 Bohr magnetons per cell
# E_tot = -159.3 eV per cell

***

[2]
# LaPmH8Rh2 | Alexandria via LeMat-Bulk | PBE | optimized geometry
data_LaPmH8Rh2
_chemical_formula_sum 'La3 Pm3 H24 Rh6'
_space_group_name_H-M_alt 'R -3'
_space_group_IT_number 148
_space_group_name_Hall '-R 3'
_cell_length_a 4.9122
_cell_length_b 4.9122
_cell_length_c 18.4253
_cell_angle_alpha 90.00
_cell_angle_beta 90.00
_cell_angle_gamma 120.00
loop_
_atom_site_label
_atom_site_type_symbol
_atom_site_fract_x
_atom_site_fract_y
_atom_site_fract_z
_atom_site_occupancy
La1 La 0.0000 0.0000 0.0000 1
Pm1 Pm 0.0000 0.0000 0.5000 1
H1 H 0.0000 0.0000 0.3217 1
H2 H 0.0584 0.5230 0.5548 1
Rh1 Rh 0.0000 0.0000 0.2336 1
# Total magnetic moment = 0.0 Bohr magnetons per cell
# E_tot = -164.9 eV per cell

***

[3]
# La2Pm2Sb2H | Alexandria via LeMat-Bulk | PBE | optimized geometry
data_La2Pm2Sb2H
_chemical_formula_sum 'La4 Pm4 Sb4 H2'
_space_group_name_H-M_alt 'I 4/m m m'
_space_group_IT_number 139
_space_group_name_Hall '-I 4 2'
_cell_length_a 4.669
_cell_length_b 4.669
_cell_length_c 17.738
_cell_angle_alpha 90.00
_cell_angle_beta 90.00
_cell_angle_gamma 90.00
loop_
_atom_site_label
_atom_site_type_symbol
_atom_site_fract_x
_atom_site_fract_y
_atom_site_fract_z
_atom_site_occupancy
La1 La 0.000 0.000 0.178 1
Pm1 Pm 0.000 0.500 0.000 1
Sb1 Sb 0.000 0.000 0.366 1
H1 H 0.000 0.000 0.000 1
# Total magnetic moment = 1.9 Bohr magnetons per cell
# E_tot = -74.1 eV per cell